! Sr2VCoO6 (GGA+U, optimized geometry); values from VASP
&SYSTEM
  ibrav = 0, nat = 10, ntyp = 4
/
ATOMIC_SPECIES
Sr 87.62 Sr.upf
V 50.94 V.upf
Co 58.93 Co.upf
O 16.00 O.upf
CELL_PARAMETERS angstrom
0.000 3.840 3.840
3.840 0.000 3.840
3.840 3.840 0.000
ATOMIC_POSITIONS crystal
Sr 0.250 0.250 0.250
Sr 0.750 0.750 0.750
V 0.000 0.000 0.000
Co 0.500 0.500 0.500
O 0.248 0.248 0.752
O 0.248 0.752 0.248
O 0.248 0.752 0.752
O 0.752 0.248 0.248
O 0.752 0.248 0.752
O 0.752 0.752 0.248
! **Total magnetic moment**: 0.0000 μB/atom
! **SG**: Fm-3m (225)
! **VASP energy**: -66.74 eV/cell